[1]
This record from Alexandria describes Pd3PtCl after structural relaxation. The functional is PBE-GGA.

a b c (Å): 4.931 4.931 4.931
angles (deg): 90.00 90.00 90.00
Fractional positions:
1 Pd 0.500 0.000 0.000
2 Pd 0.000 0.000 0.500
3 Pd 0.000 0.500 0.000
4 Cl 0.500 0.500 0.500
5 Pt 0.000 0.000 0.000

Calculated values
Fermi-level density of states   9.20 states/eV/cell
E_tot   -3.76 eV per atom
Space group   Pm-3m (221)
Formation energy without anion corrections   449 kJ/mol of formula units


[2]
This record from Alexandria describes Pd2PtCl2 after structural relaxation. The functional is PBE-GGA.

a b c (Å): 3.632 3.632 7.610
angles (deg): 76.20 76.20 90.00
Site moments in Bohr magnetons follow the coordinates.
Fractional positions:
1 Cl 0.607 0.607 0.786  0.04
2 Cl 0.393 0.393 0.214  0.04
3 Pd 0.750 0.250 0.500  0.07
4 Pd 0.250 0.750 0.500  0.07
5 Pt 0.000 0.000 0.000  0.33

Calculated values
Fermi-level density of states   6.02 states/eV/cell
E_tot   -3.34 eV per atom
Space group   I4/mmm (139)
Formation energy without anion corrections   330 kJ/mol of formula units


[3]
This record from Alexandria describes Pd2PtCl after structural relaxation. The functional is PBE-GGA.

a b c (Å): 4.524 4.524 4.524
angles (deg): 60.00 60.00 60.00
Fractional positions:
1 Cl 0.000 0.000 0.000
2 Pd 0.750 0.750 0.750
3 Pd 0.250 0.250 0.250
4 Pt 0.500 0.500 0.500

Calculated values
E above lowest polymorph   0.000 eV per formula unit
Fermi-level density of states   6.98 states/eV/cell
E_tot   -4.16 eV per atom
Space group   Fm-3m (225)
Formation energy without anion corrections   159 kJ/mol of formula units


[4]
This record from Alexandria describes Pd2PtCl8 after structural relaxation. The functional is PBE-GGA.

a b c (Å): 7.369 6.596 9.292
angles (deg): 105.00 90.00 123.96
Fractional positions:
1 Cl 0.696 0.814 0.820
2 Cl 0.671 0.343 0.524
3 Cl 0.115 0.230 0.654
4 Cl 0.885 0.770 0.346
5 Cl 0.118 0.814 0.820
6 Cl 0.882 0.186 0.180
7 Cl 0.329 0.657 0.476
8 Cl 0.304 0.186 0.180
9 Pd 0.110 0.221 0.398
10 Pd 0.890 0.779 0.602
11 Pt 0.000 0.000 0.000

Calculated values
E above lowest polymorph   0.000 eV per formula unit
Fermi-level density of states   14.65 states/eV/cell
E_tot   -3.13 eV per atom
Space group   C2/m (12)
Formation energy without anion corrections   -310 kJ/mol of formula units


[5]
This record from Alexandria describes Pd2PtCl6 after structural relaxation. The functional is PBE-GGA.

a b c (Å): 6.635 10.221 10.221
angles (deg): 80.97 63.44 63.44
Fractional positions:
1 Cl 0.024 0.349 0.348
2 Cl 0.671 0.021 0.706
3 Cl 0.700 0.707 0.023
4 Cl 0.829 0.294 0.979
5 Cl 0.171 0.706 0.021
6 Cl 0.800 0.977 0.293
7 Cl 0.200 0.023 0.707
8 Cl 0.329 0.979 0.294
9 Cl 0.476 0.652 0.651
10 Cl 0.976 0.651 0.652
11 Cl 0.300 0.293 0.977
12 Cl 0.524 0.348 0.349
13 Pd 0.418 0.171 0.315
14 Pd 0.582 0.829 0.685
15 Pd 0.082 0.685 0.829
16 Pd 0.918 0.315 0.171
17 Pt 0.250 0.160 0.840
18 Pt 0.750 0.840 0.160

Calculated values
E above lowest polymorph   0.000 eV per formula unit
E_tot   -3.48 eV per atom
Space group   C2/c (15)
Formation energy without anion corrections   -370 kJ/mol of formula units


[6]
This record from Alexandria describes Pd2PtCl after structural relaxation. The functional is PBE-GGA.

a b c (Å): 7.165 7.165 5.724
angles (deg): 51.25 51.25 90.00
Fractional positions:
1 Pd 0.139 0.625 0.250
2 Pd 0.875 0.861 0.750
3 Pd 0.375 0.389 0.750
4 Pd 0.611 0.125 0.250
5 Cl 0.250 0.750 0.500
6 Cl 0.500 0.500 0.000
7 Pt 0.000 0.000 0.000
8 Pt 0.750 0.250 0.500

Calculated values
E above lowest polymorph   0.026 eV per formula unit
Fermi-level density of states   13.51 states/eV/cell
E_tot   -4.15 eV per atom
Space group   I-42d (122)
Formation energy without anion corrections   161 kJ/mol of formula units


[7]
This record from Alexandria describes Pd3PtCl9 after structural relaxation. The functional is PBE-GGA.

a b c (Å): 7.341 10.533 10.660
angles (deg): 73.99 69.86 69.61
Site moments in Bohr magnetons follow the coordinates.
Fractional positions:
1 Cl 0.872 0.848 0.345  0.01
2 Cl 0.816 0.196 0.570  0.02
3 Cl 0.261 0.006 0.171  0.01
4 Cl 0.984 0.603 0.121  0.01
5 Cl 0.292 0.103 0.621  0.01
6 Cl 0.899 0.303 0.193  0.02
7 Cl 0.605 0.803 0.693  0.02
8 Cl 0.371 0.338 0.970  0.19
9 Cl 0.101 0.933 0.917  0.05
10 Cl 0.655 0.043 0.862  0.01
11 Cl 0.561 0.506 0.671  0.01
12 Cl 0.417 0.696 0.070  0.02
13 Cl 0.935 0.348 0.845  0.01
14 Cl 0.050 0.433 0.417  0.05
15 Cl 0.440 0.543 0.362  0.01
16 Cl 0.555 0.130 0.299  0.01
17 Cl 0.322 0.838 0.470  0.19
18 Cl 0.016 0.630 0.799  0.01
19 Pd 0.981 0.054 0.737  0.09
20 Pd 0.227 0.554 0.237  0.09
21 Pd 0.784 0.571 0.736  0.03
22 Pd 0.909 0.071 0.236  0.03
23 Pd 0.586 0.276 0.768  0.11
24 Pd 0.370 0.776 0.268  0.11
25 Pt 0.565 0.955 0.490  0.40
26 Pt 0.989 0.455 0.990  0.40

Calculated values
Fermi-level density of states   11.61 states/eV/cell
E_tot   -3.30 eV per atom
Space group   Cc (9)
Formation energy without anion corrections   -453 kJ/mol of formula units


[8]
This record from Alexandria describes Pd2PtCl8 after structural relaxation. The functional is PBE-GGA.

a b c (Å): 6.138 7.648 7.648
angles (deg): 65.28 98.37 98.37
Site moments in Bohr magnetons follow the coordinates.
Fractional positions:
1 Pd 0.696 0.216 0.216  0.56
2 Pd 0.304 0.784 0.784  0.56
3 Cl 0.823 0.282 0.900  0.10
4 Cl 0.823 0.900 0.282  0.10
5 Cl 0.314 0.153 0.153  0.00
6 Cl 0.686 0.847 0.847  0.00
7 Cl 0.177 0.100 0.718  0.10
8 Cl 0.374 0.619 0.619  0.15
9 Cl 0.177 0.718 0.100  0.10
10 Cl 0.626 0.381 0.381  0.15
11 Pt 0.000 0.000 0.000  -0.03

Calculated values
E above lowest polymorph   1.017 eV per formula unit
Fermi-level density of states   3.78 states/eV/cell
E_tot   -3.04 eV per atom
Space group   C2/m (12)
Formation energy without anion corrections   -212 kJ/mol of formula units